# TiSbPt2, relaxed, DFT PBE
# * formation energy from raw total energies: -13 kJ per mole of atoms
# * magnetization: 0.0 μB/f.u.
# * space-group type: I-42d, No. 122
data_TiSbPt2
_cell_length_a 5.902
_cell_length_b 5.902
_cell_length_c 7.110
_cell_angle_alpha 65.48
_cell_angle_beta 65.48
_cell_angle_gamma 90.00
_space_group_name_H-M_alt 'P 1'
_space_group_IT_number 1
_space_group_name_Hall 'P 1'
loop_
_atom_site_label
_atom_site_fract_x
_atom_site_fract_y
_atom_site_fract_z
_atom_site_occupancy
Sb1 0.000 0.000 0.000 1
Sb2 0.750 0.250 0.500 1
Pt1 0.608 0.125 0.250 1
Pt2 0.142 0.625 0.250 1
Pt3 0.375 0.392 0.750 1
Pt4 0.875 0.858 0.750 1
Ti1 0.500 0.500 0.000 1
Ti2 0.250 0.750 0.500 1

=====

# Ti8Sb2Pt, relaxed, DFT PBE
# * formation energy from raw total energies: -37 kJ per mole of atoms
# * magnetization: 0.0 μB/f.u.
# * space-group type: C2/m, No. 12
data_Ti8Sb2Pt
_cell_length_a 4.270
_cell_length_b 6.828
_cell_length_c 7.542
_cell_angle_alpha 111.53
_cell_angle_beta 106.44
_cell_angle_gamma 90.00
_space_group_name_H-M_alt 'P 1'
_space_group_IT_number 1
_space_group_name_Hall 'P 1'
loop_
_atom_site_label
_atom_site_fract_x
_atom_site_fract_y
_atom_site_fract_z
_atom_site_occupancy
Ti1 0.418 0.569 0.836 1
Ti2 0.669 0.908 0.338 1
Ti3 0.844 0.785 0.687 1
Ti4 0.966 0.224 0.932 1
Ti5 0.156 0.215 0.313 1
Ti6 0.331 0.092 0.662 1
Ti7 0.582 0.431 0.164 1
Ti8 0.034 0.776 0.068 1
Sb1 0.798 0.340 0.596 1
Sb2 0.202 0.660 0.404 1
Pt1 0.500 0.000 0.000 1

=====

# Ti6SbPt, relaxed, DFT PBE
# * formation energy from raw total energies: -42 kJ per mole of atoms
# * magnetization: 0.0 μB/f.u.
# * space-group type: Amm2, No. 38
data_Ti6SbPt
_cell_length_a 4.671
_cell_length_b 5.643
_cell_length_c 5.643
_cell_angle_alpha 113.33
_cell_angle_beta 90.00
_cell_angle_gamma 90.00
_space_group_name_H-M_alt 'P 1'
_space_group_IT_number 1
_space_group_name_Hall 'P 1'
loop_
_atom_site_label
_atom_site_fract_x
_atom_site_fract_y
_atom_site_fract_z
_atom_site_occupancy
Ti1 0.000 0.133 0.429 1
Ti2 0.000 0.571 0.867 1
Ti3 0.000 0.634 0.366 1
Ti4 0.500 0.391 0.100 1
Ti5 0.500 0.900 0.609 1
Ti6 0.500 0.878 0.122 1
Sb1 0.000 0.084 0.916 1
Pt1 0.500 0.410 0.590 1

=====

# TiSb2Pt2, relaxed, DFT PBE
# * formation energy from raw total energies: -30 kJ per mole of atoms
# * magnetization: 0.0 μB/f.u.
# * space-group type: P4/mbm, No. 127
data_TiSb2Pt2
_cell_length_a 7.145
_cell_length_b 7.145
_cell_length_c 3.888
_cell_angle_alpha 90.00
_cell_angle_beta 90.00
_cell_angle_gamma 90.00
_space_group_name_H-M_alt 'P 1'
_space_group_IT_number 1
_space_group_name_Hall 'P 1'
loop_
_atom_site_label
_atom_site_fract_x
_atom_site_fract_y
_atom_site_fract_z
_atom_site_occupancy
Sb1 0.178 0.678 0.500 1
Sb2 0.678 0.822 0.500 1
Sb3 0.822 0.322 0.500 1
Sb4 0.322 0.178 0.500 1
Pt1 0.367 0.867 0.000 1
Pt2 0.867 0.633 0.000 1
Pt3 0.633 0.133 0.000 1
Pt4 0.133 0.367 0.000 1
Ti1 0.000 0.000 0.000 1
Ti2 0.500 0.500 0.000 1

=====

# Tl2SbPt, relaxed, DFT PBE
# * formation energy from raw total energies: 15 kJ per mole of atoms
# * magnetization: 0.0 μB/f.u.
# * space-group type: Pmmm, No. 47
# * distance to the lowest polymorph of the same formula: 307.3 meV/atom
data_Tl2SbPt
_cell_length_a 3.427
_cell_length_b 3.197
_cell_length_c 9.068
_cell_angle_alpha 90.00
_cell_angle_beta 90.00
_cell_angle_gamma 90.00
_space_group_name_H-M_alt 'P 1'
_space_group_IT_number 1
_space_group_name_Hall 'P 1'
loop_
_atom_site_label
_atom_site_fract_x
_atom_site_fract_y
_atom_site_fract_z
_atom_site_occupancy
Pt1 0.500 0.500 0.250 1
Sb1 0.500 0.500 0.750 1
Tl1 0.000 0.000 0.047 1
Tl2 0.000 0.000 0.453 1

=====

# TlSbPt2, relaxed, DFT PBE
# * formation energy from raw total energies: -13 kJ per mole of atoms
# * magnetization: 0.0 μB/f.u.
# * space-group type: C2/m, No. 12
data_TlSbPt2
_cell_length_a 3.855
_cell_length_b 3.855
_cell_length_c 7.136
_cell_angle_alpha 74.38
_cell_angle_beta 74.38
_cell_angle_gamma 60.30
_space_group_name_H-M_alt 'P 1'
_space_group_IT_number 1
_space_group_name_Hall 'P 1'
loop_
_atom_site_label
_atom_site_fract_x
_atom_site_fract_y
_atom_site_fract_z
_atom_site_occupancy
Pt1 0.007 0.007 0.980 1
Pt2 0.493 0.493 0.520 1
Sb1 0.750 0.750 0.750 1
Tl1 0.250 0.250 0.250 1

=====

# Tl2SbPt, relaxed, DFT PBE
# * formation energy from raw total energies: -8 kJ per mole of atoms
# * magnetization: 0.0 μB/f.u.
# * space-group type: P4mm, No. 99
# * distance to the lowest polymorph of the same formula: 65.0 meV/atom
data_Tl2SbPt
_cell_length_a 3.473
_cell_length_b 3.475
_cell_length_c 8.569
_cell_angle_alpha 90.00
_cell_angle_beta 90.00
_cell_angle_gamma 90.00
_space_group_name_H-M_alt 'P 1'
_space_group_IT_number 1
_space_group_name_Hall 'P 1'
loop_
_atom_site_label
_atom_site_fract_x
_atom_site_fract_y
_atom_site_fract_z
_atom_site_occupancy
Pt1 0.000 0.000 0.537 1
Sb1 0.500 0.500 0.683 1
Tl1 0.000 0.000 0.988 1
Tl2 0.500 0.500 0.291 1

=====

# Tl2SbPt, relaxed, DFT PBE
# * formation energy from raw total energies: 16 kJ per mole of atoms
# * magnetization: 0.0 μB/f.u.
# * space-group type: R-3m, No. 166
# * distance to the lowest polymorph of the same formula: 316.2 meV/atom
data_Tl2SbPt
_cell_length_a 9.603
_cell_length_b 9.603
_cell_length_c 9.603
_cell_angle_alpha 21.18
_cell_angle_beta 21.18
_cell_angle_gamma 21.18
_space_group_name_H-M_alt 'P 1'
_space_group_IT_number 1
_space_group_name_Hall 'P 1'
loop_
_atom_site_label
_atom_site_fract_x
_atom_site_fract_y
_atom_site_fract_z
_atom_site_occupancy
Pt1 0.250 0.250 0.250 1
Sb1 0.750 0.750 0.750 1
Tl1 0.987 0.987 0.987 1
Tl2 0.513 0.513 0.513 1

=====

# TlSbPt2, relaxed, DFT PBE
# * formation energy from raw total energies: -18 kJ per mole of atoms
# * magnetization: 0.0 μB/f.u.
# * space-group type: Pm, No. 6
data_TlSbPt2
_cell_length_a 3.919
_cell_length_b 3.925
_cell_length_c 5.994
_cell_angle_alpha 63.91
_cell_angle_beta 90.00
_cell_angle_gamma 90.00
_space_group_name_H-M_alt 'P 1'
_space_group_IT_number 1
_space_group_name_Hall 'P 1'
loop_
_atom_site_label
_atom_site_fract_x
_atom_site_fract_y
_atom_site_fract_z
_atom_site_occupancy
Pt1 0.000 0.161 0.942 1
Pt2 0.500 0.101 0.306 1
Sb1 0.000 0.492 0.421 1
Tl1 0.500 0.747 0.831 1

=====

# Tl2SbPt, relaxed, DFT PBE
# * formation energy from raw total energies: -7 kJ per mole of atoms
# * magnetization: 0.0 μB/f.u.
# * space-group type: C2/m, No. 12
# * distance to the lowest polymorph of the same formula: 85.2 meV/atom
data_Tl2SbPt
_cell_length_a 7.879
_cell_length_b 7.879
_cell_length_c 4.265
_cell_angle_alpha 74.37
_cell_angle_beta 74.37
_cell_angle_gamma 25.85
_space_group_name_H-M_alt 'P 1'
_space_group_IT_number 1
_space_group_name_Hall 'P 1'
loop_
_atom_site_label
_atom_site_fract_x
_atom_site_fract_y
_atom_site_fract_z
_atom_site_occupancy
Pt1 0.750 0.750 0.750 1
Sb1 0.250 0.250 0.250 1
Tl1 0.074 0.074 0.926 1
Tl2 0.426 0.426 0.574 1

=====

# TlSbPt2, relaxed, DFT PBE
# * formation energy from raw total energies: -11 kJ per mole of atoms
# * magnetization: 0.0 μB/f.u.
# * space-group type: P4mm, No. 99
data_TlSbPt2
_cell_length_a 3.560
_cell_length_b 3.560
_cell_length_c 6.983
_cell_angle_alpha 90.00
_cell_angle_beta 90.00
_cell_angle_gamma 89.99
_space_group_name_H-M_alt 'P 1'
_space_group_IT_number 1
_space_group_name_Hall 'P 1'
loop_
_atom_site_label
_atom_site_fract_x
_atom_site_fract_y
_atom_site_fract_z
_atom_site_occupancy
Pt1 0.000 0.000 0.028 1
Pt2 0.500 0.500 0.248 1
Sb1 0.000 0.000 0.410 1
Tl1 0.500 0.500 0.814 1

=====

# TlSbPt2, relaxed, DFT PBE
# * formation energy from raw total energies: 6 kJ per mole of atoms
# * magnetization: 0.0 μB/f.u.
# * space-group type: I-4m2, No. 119
data_TlSbPt2
_cell_length_a 5.540
_cell_length_b 5.540
_cell_length_c 5.540
_cell_angle_alpha 136.51
_cell_angle_beta 136.51
_cell_angle_gamma 63.19
_space_group_name_H-M_alt 'P 1'
_space_group_IT_number 1
_space_group_name_Hall 'P 1'
loop_
_atom_site_label
_atom_site_fract_x
_atom_site_fract_y
_atom_site_fract_z
_atom_site_occupancy
Pt1 0.000 0.000 0.000 1
Pt2 0.250 0.750 0.500 1
Sb1 0.500 0.500 0.000 1
Tl1 0.750 0.250 0.500 1

=====

# TlSbPt2, relaxed, DFT PBE
# * formation energy from raw total energies: -6 kJ per mole of atoms
# * magnetization: 0.0 μB/f.u.
# * space-group type: P2/m, No. 10
data_TlSbPt2
_cell_length_a 3.459
_cell_length_b 3.485
_cell_length_c 7.285
_cell_angle_alpha 79.54
_cell_angle_beta 90.00
_cell_angle_gamma 90.00
_space_group_name_H-M_alt 'P 1'
_space_group_IT_number 1
_space_group_name_Hall 'P 1'
loop_
_atom_site_label
_atom_site_fract_x
_atom_site_fract_y
_atom_site_fract_z
_atom_site_occupancy
Pt1 0.000 0.831 0.049 1
Pt2 0.000 0.669 0.451 1
Sb1 0.500 0.250 0.250 1
Tl1 0.500 0.750 0.750 1

=====

# Tl2SbPt, relaxed, DFT PBE
# * formation energy from raw total energies: -1 kJ per mole of atoms
# * magnetization: 0.0 μB/f.u.
# * space-group type: P2/m, No. 10
# * distance to the lowest polymorph of the same formula: 140.8 meV/atom
data_Tl2SbPt
_cell_length_a 3.374
_cell_length_b 7.179
_cell_length_c 7.069
_cell_angle_alpha 42.84
_cell_angle_beta 90.00
_cell_angle_gamma 90.00
_space_group_name_H-M_alt 'P 1'
_space_group_IT_number 1
_space_group_name_Hall 'P 1'
loop_
_atom_site_label
_atom_site_fract_x
_atom_site_fract_y
_atom_site_fract_z
_atom_site_occupancy
Pt1 0.500 0.250 0.250 1
Sb1 0.500 0.750 0.750 1
Tl1 0.000 0.069 0.078 1
Tl2 0.000 0.431 0.422 1

=====

# Tl2SbPt, relaxed, DFT PBE
# * formation energy from raw total energies: 17 kJ per mole of atoms
# * magnetization: 0.0 μB/f.u.
# * space-group type: I4/mmm, No. 139
# * distance to the lowest polymorph of the same formula: 325.6 meV/atom
data_Tl2SbPt
_cell_length_a 6.234
_cell_length_b 6.234
_cell_length_c 6.234
_cell_angle_alpha 140.03
_cell_angle_beta 140.03
_cell_angle_gamma 57.80
_space_group_name_H-M_alt 'P 1'
_space_group_IT_number 1
_space_group_name_Hall 'P 1'
loop_
_atom_site_label
_atom_site_fract_x
_atom_site_fract_y
_atom_site_fract_z
_atom_site_occupancy
Pt1 0.250 0.750 0.500 1
Sb1 0.750 0.250 0.500 1
Tl1 0.000 0.000 0.000 1
Tl2 0.500 0.500 0.000 1

=====

# Tl2SbPt, relaxed, DFT PBE
# * formation energy from raw total energies: 15 kJ per mole of atoms
# * magnetization: 0.0 μB/f.u.
# * space-group type: Cmmm, No. 65
# * distance to the lowest polymorph of the same formula: 304.6 meV/atom
data_Tl2SbPt
_cell_length_a 3.336
_cell_length_b 3.336
_cell_length_c 8.933
_cell_angle_alpha 90.00
_cell_angle_beta 90.00
_cell_angle_gamma 96.95
_space_group_name_H-M_alt 'P 1'
_space_group_IT_number 1
_space_group_name_Hall 'P 1'
loop_
_atom_site_label
_atom_site_fract_x
_atom_site_fract_y
_atom_site_fract_z
_atom_site_occupancy
Pt1 0.500 0.500 0.250 1
Sb1 0.500 0.500 0.750 1
Tl1 0.000 0.000 0.044 1
Tl2 0.000 0.000 0.456 1

=====

# TlSbPt2, relaxed, DFT PBE
# * formation energy from raw total energies: 2 kJ per mole of atoms
# * magnetization: 0.0 μB/f.u.
# * space-group type: I-42d, No. 122
data_TlSbPt2
_cell_length_a 4.626
_cell_length_b 4.626
_cell_length_c 9.198
_cell_angle_alpha 75.43
_cell_angle_beta 75.43
_cell_angle_gamma 90.00
_space_group_name_H-M_alt 'P 1'
_space_group_IT_number 1
_space_group_name_Hall 'P 1'
loop_
_atom_site_label
_atom_site_fract_x
_atom_site_fract_y
_atom_site_fract_z
_atom_site_occupancy
Sb1 0.500 0.500 0.000 1
Sb2 0.250 0.750 0.500 1
Tl1 0.000 0.000 0.000 1
Tl2 0.750 0.250 0.500 1
Pt1 0.584 0.125 0.250 1
Pt2 0.166 0.625 0.250 1
Pt3 0.375 0.416 0.750 1
Pt4 0.875 0.834 0.750 1

=====

# Tl2SbPt, relaxed, DFT PBE
# * formation energy from raw total energies: -15 kJ per mole of atoms
# * magnetization: 0.0 μB/f.u.
# * space-group type: Cm, No. 8
# * distance to the lowest polymorph of the same formula: 0.0 meV/atom
data_Tl2SbPt
_cell_length_a 4.390
_cell_length_b 4.390
_cell_length_c 7.356
_cell_angle_alpha 72.73
_cell_angle_beta 72.73
_cell_angle_gamma 60.07
_space_group_name_H-M_alt 'P 1'
_space_group_IT_number 1
_space_group_name_Hall 'P 1'
loop_
_atom_site_label
_atom_site_fract_x
_atom_site_fract_y
_atom_site_fract_z
_atom_site_occupancy
Sb1 0.219 0.219 0.342 1
Tl1 0.991 0.991 0.028 1
Tl2 0.772 0.772 0.685 1
Pt1 0.518 0.518 0.445 1

=====

# Tl2SbPt, relaxed, DFT PBE
# * formation energy from raw total energies: 16 kJ per mole of atoms
# * magnetization: 0.0 μB/f.u.
# * space-group type: I-42d, No. 122
# * distance to the lowest polymorph of the same formula: 320.9 meV/atom
data_Tl2SbPt
_cell_length_a 4.303
_cell_length_b 4.303
_cell_length_c 11.182
_cell_angle_alpha 78.91
_cell_angle_beta 78.91
_cell_angle_gamma 90.00
_space_group_name_H-M_alt 'P 1'
_space_group_IT_number 1
_space_group_name_Hall 'P 1'
loop_
_atom_site_label
_atom_site_fract_x
_atom_site_fract_y
_atom_site_fract_z
_atom_site_occupancy
Sb1 0.500 0.500 0.000 1
Sb2 0.250 0.750 0.500 1
Tl1 0.635 0.125 0.250 1
Tl2 0.115 0.625 0.250 1
Tl3 0.375 0.365 0.750 1
Tl4 0.875 0.885 0.750 1
Pt1 0.000 0.000 0.000 1
Pt2 0.750 0.250 0.500 1

=====

# Tl2SbPt, relaxed, DFT PBE
# * formation energy from raw total energies: 27 kJ per mole of atoms
# * magnetization: 0.0 μB/f.u.
# * space-group type: Fm-3m, No. 225
# * distance to the lowest polymorph of the same formula: 429.9 meV/atom
data_Tl2SbPt
_cell_length_a 5.163
_cell_length_b 5.163
_cell_length_c 5.163
_cell_angle_alpha 60.00
_cell_angle_beta 60.00
_cell_angle_gamma 60.00
_space_group_name_H-M_alt 'P 1'
_space_group_IT_number 1
_space_group_name_Hall 'P 1'
loop_
_atom_site_label
_atom_site_fract_x
_atom_site_fract_y
_atom_site_fract_z
_atom_site_occupancy
Sb1 0.000 0.000 0.000 1
Tl1 0.250 0.250 0.250 1
Tl2 0.750 0.750 0.750 1
Pt1 0.500 0.500 0.500 1